i.
{"formula": "Li2P2Pt", "functional": "meta-GGA SCAN", "state": "PBEsol geometry", "vol_a3_per_fu": 67.45, "lattice_angstrom": [[-1.436, 1.729, 6.789], [1.436, -1.729, 6.789], [1.436, 1.729, -6.789]], "species": ["Li", "Li", "P", "P", "Pt"], "fractional_positions": [[0.196, 0.196, 0.000], [0.804, 0.804, 0.000], [0.394, 0.394, 0.000], [0.606, 0.606, 0.000], [0.000, 0.000, 0.000]]}

ii.
{"formula": "Li2P2Pt", "functional": "meta-GGA SCAN", "state": "PBEsol geometry", "vol_a3_per_fu": 73.53, "lattice_angstrom": [[5.945, 0.000, 0.000], [0.000, 5.945, 0.000], [0.000, 0.000, 4.161]], "species": ["Li", "Li", "Li", "Li", "P", "P", "P", "P", "Pt", "Pt"], "fractional_positions": [[0.177, 0.323, 0.000], [0.323, 0.823, 0.000], [0.677, 0.177, 0.000], [0.823, 0.677, 0.000], [0.131, 0.631, 0.500], [0.369, 0.131, 0.500], [0.631, 0.869, 0.500], [0.869, 0.369, 0.500], [0.000, 0.000, 0.500], [0.500, 0.500, 0.500]]}

The structure with the greatest stability is ii.

i.
{"formula": "SrLiPS2", "functional": "meta-GGA SCAN", "state": "PBEsol geometry", "vol_a3_per_fu": 172.20, "lattice_angstrom": [[5.529, 0.000, 0.000], [0.000, 5.529, 0.000], [0.000, 0.000, 5.634]], "species": ["Sr", "Li", "P", "S", "S"], "fractional_positions": [[0.000, 0.000, 0.000], [0.500, 0.500, 0.500], [0.000, 0.000, 0.500], [0.000, 0.500, 0.000], [0.500, 0.000, 0.000]]}

ii.
{"formula": "SrLiPS2", "functional": "meta-GGA SCAN", "state": "PBEsol geometry", "vol_a3_per_fu": 94.84, "lattice_angstrom": [[4.697, 0.000, 0.000], [0.000, 4.697, 0.000], [0.000, 0.000, 4.299]], "species": ["Sr", "Li", "P", "S", "S"], "fractional_positions": [[0.000, 0.000, 0.000], [0.500, 0.500, 0.500], [0.500, 0.500, 0.000], [0.000, 0.500, 0.500], [0.500, 0.000, 0.500]]}

The structure with the greatest stability is ii.